Compound: Pm2NdCo
Source: Alexandria
Functional: PBE
Structure: optimized geometry

Unit cell a=3.7037 b=3.7037 c=10.7028 alpha=80.04 beta=80.04 gamma=60.00
Closest atoms and distances in Å follow each position.
Atoms (fractional coordinates):
Nd1 0.0000 0.0000 0.0000  2 Pm 3.59, 6 Nd 3.70
Co1 0.5000 0.5000 0.5000  6 Pm 2.70
Pm1 0.1142 0.1142 0.6575  3 Co 2.70
Pm2 0.8858 0.8858 0.3425  3 Co 2.70

## Properties
For the energy above the most stable polymorph in this dataset, the calculation gives 0.261 eV/atom. The density of states at the Fermi level is 6.06 states/eV/f.u. The value obtained for the calculated formation energy is 185 meV/atom. The raw total energy is -5.16 eV/atom.